Computed, not measured: a geometry-optimized TcCF3 structure at the PBE level of DFT.

The structure belongs to space group Pm-3m (No. 221); the cell edges are 4.0543, 4.0543 and 4.0543 Å and the angles 90.00°, 90.00° and 90.00°. Symmetry generates all atoms from Tc at (0.0000, 0.0000, 0.0000), C at (0.5000, 0.5000, 0.5000) and F at (0.0000, 0.0000, 0.5000).

For the excess energy over the best structure of this formula in the dataset, the calculation gives 0 meV per atom. Its formation energy (no corrections) is 0.2435 eV/atom. The total energy comes out at -4.797 eV/atom.


Computed, not measured: a geometry-optimized Tc2C2F structure at the PBE level of DFT.

The structure belongs to space group I4/mmm (No. 139); the cell edges are 3.9323, 3.9323 and 6.5358 Å and the angles 90.00°, 90.00° and 90.00°. Symmetry generates all atoms from Tc at (0.0000, 0.5000, 0.2500), C at (0.0000, 0.0000, 0.1096) and F at (0.0000, 0.0000, 0.5000).

For the excess energy over the best structure of this formula in the dataset, the calculation gives 0 meV per atom. Its formation energy (no corrections) is 0.1924 eV/atom. The total energy comes out at -8.018 eV/atom.


Computed, not measured: a geometry-optimized TcCF3 structure at the PBE level of DFT.

The structure belongs to space group Pm-3m (No. 221); the cell edges are 3.9558, 3.9558 and 3.9558 Å and the angles 90.00°, 90.00° and 90.00°. Symmetry generates all atoms from Tc at (0.0000, 0.0000, 0.0000), C at (0.5000, 0.5000, 0.5000) and F at (0.0000, 0.5000, 0.5000).

For the excess energy over the best structure of this formula in the dataset, the calculation gives 315 meV per atom. Its formation energy (no corrections) is 0.5581 eV/atom. The total energy comes out at -4.483 eV/atom.


Computed, not measured: a geometry-optimized Tc3CF structure at the PBE level of DFT.

The structure belongs to space group Pm-3m (No. 221); the cell edges are 4.0603, 4.0603 and 4.0603 Å and the angles 90.00°, 90.00° and 90.00°. Symmetry generates all atoms from Tc at (0.0000, 0.0000, 0.5000), C at (0.0000, 0.0000, 0.0000) and F at (0.5000, 0.5000, 0.5000).

For the excess energy over the best structure of this formula in the dataset, the calculation gives 0 meV per atom. Its formation energy (no corrections) is 0.6121 eV/atom. The total energy comes out at -7.827 eV/atom.